# 1
Zn2Te3 | GGA-PBE | relaxed

Output
As for the polymorph energy (0 for the lowest one): 0 meV per atom. The value obtained for the uncorrected formation energy is -0.10 eV per atom. Its final energy is -2.493 eV/atom. For the mass density, the calculation gives 6.7 Mg/m³. Its space group is R-3m, No. 166. The total magnetization comes out at 0.0000 μB per atom.

Cell: 9.0518 9.0518 9.0518 Å, 26.13 26.13 26.13°
Closest atoms and distances in Å follow each position.
Sites, in units of the cell vectors:
Zn1 0.3992 0.3992 0.3992  6 Te 2.78-2.93
Zn2 0.6008 0.6008 0.6008  6 Te 2.78-2.93
Te1 0.0000 0.0000 0.0000  6 Zn 2.93
Te2 0.2114 0.2114 0.2114  3 Zn 2.78
Te3 0.7886 0.7886 0.7886  3 Zn 2.78

***

# 2
Zr2Ti2Tl | GGA-PBE | relaxed

Output
As for the polymorph energy (0 for the lowest one): 544 meV per atom. The energy of formation comes out at 263 kJ/mol of formula units. Its final energy is -6.505 eV/atom. For the mass density, the calculation gives 6.7 Mg/m³. Its space group is P-3m1, No. 164. The total magnetization comes out at 0.4848 μB per atom.

Cell: 5.1088 5.1088 5.2638 Å, 90.00 90.00 120.00°
Closest atoms and distances in Å follow each position.
Sites, in units of the cell vectors:
Tl1 0.0000 0.0000 0.0000  6 Zr 3.03
Zr1 0.3333 0.6667 0.1302  2 Ti 2.61-2.66
Zr2 0.6667 0.3333 0.8698  2 Ti 2.61-2.66
Ti1 0.6667 0.3333 0.3652  2 Zr 2.61-2.66
Ti2 0.3333 0.6667 0.6348  2 Zr 2.61-2.66